[1]
{
  "formula": "KAc2NbO6",
  "functional": "PBE",
  "state": "optimized geometry",
  "e_tot_ev_per_atom": -7.639,
  "dos_at_fermi_per_ev_atom": 0.000,
  "raw_formation_energy_ev_per_atom": -2.73,
  "volume_a3_per_atom": 18.71,
  "cell": [[-5.411, 1.252, -1.440], [0.286, -3.728, -4.317], [-1.878, -4.143, 3.453]],
  "species": ["O", "O", "O", "O", "Nb", "K", "Ac", "O", "O", "Ac"],
  "frac_coords": [[0.272, 0.000, 0.000], [0.741, 0.777, 0.777], [0.095, 0.500, 0.500], [0.741, 0.223, 0.777], [0.607, 0.000, 0.000], [0.531, 0.500, 0.500], [0.988, 0.000, 0.500], [0.741, 0.223, 0.223], [0.741, 0.777, 0.223], [0.988, 0.500, 0.000]]
}

---

[2]
{
  "formula": "KAcNbO5",
  "functional": "PBE",
  "state": "optimized geometry",
  "e_tot_ev_per_atom": -7.466,
  "dos_at_fermi_per_ev_atom": 1.010,
  "raw_formation_energy_ev_per_atom": -2.46,
  "volume_a3_per_atom": 20.83,
  "cell": [[-6.206, -1.880, 1.182], [3.743, -3.143, 4.423], [0.146, 8.192, 2.745]],
  "species": ["O", "Ac", "O", "K", "K", "O", "O", "O", "O", "O", "O", "Nb", "Ac", "O", "Nb", "O"],
  "frac_coords": [[0.931, 0.069, 0.750], [0.000, 0.000, 0.000], [0.748, 0.603, 0.399], [0.668, 0.332, 0.750], [0.332, 0.668, 0.250], [0.889, 0.317, 0.132], [0.111, 0.683, 0.868], [0.397, 0.252, 0.101], [0.683, 0.111, 0.368], [0.317, 0.889, 0.632], [0.252, 0.397, 0.601], [0.320, 0.680, 0.750], [0.000, 0.000, 0.500], [0.069, 0.931, 0.250], [0.680, 0.320, 0.250], [0.603, 0.748, 0.899]]
}

---

[3]
{
  "formula": "K2AcNb2O7",
  "functional": "PBE",
  "state": "optimized geometry",
  "e_tot_ev_per_atom": -7.737,
  "dos_at_fermi_per_ev_atom": 0.061,
  "raw_formation_energy_ev_per_atom": -2.64,
  "volume_a3_per_atom": 15.32,
  "cell": [[4.084, -0.002, 0.011], [0.003, 4.084, 0.011], [2.016, 2.013, 11.035]],
  "species": ["O", "Ac", "K", "O", "O", "Nb", "Nb", "O", "O", "O", "O", "K"],
  "frac_coords": [[0.085, 0.585, 0.831], [0.000, 0.000, 0.000], [0.192, 0.192, 0.617], [0.915, 0.415, 0.169], [0.683, 0.683, 0.634], [0.402, 0.402, 0.197], [0.598, 0.598, 0.803], [0.585, 0.085, 0.831], [0.500, 0.500, 0.000], [0.317, 0.317, 0.366], [0.415, 0.915, 0.169], [0.808, 0.808, 0.383]]
}

---

[4]
{
  "formula": "KAcNd2",
  "functional": "PBE",
  "state": "optimized geometry",
  "delta_e_f_mev_per_atom": 218,
  "e_tot_ev_per_atom": -3.467,
  "dos_at_fermi_per_ev_atom": 1.615,
  "volume_a3_per_atom": 42.96,
  "cell": [[3.787, 0.000, 0.000], [1.893, 3.279, 0.000], [1.893, 1.093, 13.839]],
  "species": ["K", "Nd", "Ac", "Nd"],
  "frac_coords": [[0.000, 0.000, 0.000], [0.906, 0.906, 0.281], [0.500, 0.500, 0.500], [0.094, 0.094, 0.719]]
}